(1)
The following is a DFT calculation (PBE) of an optimized crystal structure of SrLa2HgMo.

Calculated values
E_tot: -4.345 eV/atom
SG: No. 123

The structure in extended XYZ format:
```
5
Lattice="5.414 0.000 0.000 0.000 5.414 0.000 0.000 0.000 5.746" Properties=species:S:1:pos:R:3 pbc="T T T"
Sr 0.000 0.000 0.000
La 0.000 2.707 2.873
La 2.707 0.000 2.873
Hg 2.707 2.707 0.000
Mo 2.707 2.707 2.873
```

***

(2)
The following is a DFT calculation (PBE) of an optimized crystal structure of KNd3Se4.

Calculated values
formation energy (no corrections): -1.79 eV per atom
SG: No. 194

The structure in extended XYZ format:
```
16
Lattice="4.283 0.000 0.000 -2.142 3.710 0.000 0.000 0.000 29.265" Properties=species:S:1:pos:R:3 pbc="T T T"
K 0.000 2.473 7.316
K 2.142 1.237 21.949
Nd 0.000 0.000 0.000
Nd 0.000 0.000 14.633
Nd 0.000 2.473 18.057
Nd 0.000 2.473 25.840
Nd 2.142 1.237 3.425
Nd 2.142 1.237 11.208
Se 0.000 0.000 5.068
Se 0.000 0.000 9.564
Se 0.000 0.000 19.701
Se 0.000 0.000 24.197
Se 0.000 2.473 1.718
Se 0.000 2.473 12.914
Se 2.142 1.237 16.351
Se 2.142 1.237 27.547
```

***

(3)
The following is a DFT calculation (PBE) of an optimized crystal structure of HoFeCo2.

Calculated values
SG: No. 51
excess energy over the best structure of this formula in the dataset: 178.5 meV per atom

The structure in extended XYZ format:
```
16
Lattice="4.768 0.000 0.000 0.000 4.459 0.000 0.000 0.000 11.746" Properties=species:S:1:pos:R:3 pbc="T T T"
Ho 1.192 0.000 1.088
Ho 1.192 2.229 3.638
Ho 3.576 0.000 10.659
Ho 3.576 2.229 8.108
Fe 1.192 0.000 7.859
Fe 1.192 2.229 6.424
Fe 3.576 0.000 3.887
Fe 3.576 2.229 5.323
Co 0.000 0.000 5.873
Co 0.000 2.229 0.000
Co 1.192 1.153 9.848
Co 1.192 3.306 9.848
Co 2.384 0.000 5.873
Co 2.384 2.229 0.000
Co 3.576 1.153 1.898
Co 3.576 3.306 1.898
```

***

(4)
The following is a DFT calculation (PBE) of an optimized crystal structure of BaTe2Ru.

Calculated values
formation energy (no corrections): -0.54 eV per atom
SG: No. 65
excess energy over the best structure of this formula in the dataset: 131.0 meV per atom

The structure in extended XYZ format:
```
8
Lattice="6.378 0.000 0.000 0.000 9.013 0.000 0.000 0.000 4.167" Properties=species:S:1:pos:R:3 pbc="T T T"
Ba 0.000 0.000 0.000
Ba 3.189 4.507 0.000
Te 0.000 2.870 2.083
Te 0.000 6.143 2.083
Te 3.189 1.637 2.083
Te 3.189 7.377 2.083
Ru 0.000 4.507 0.000
Ru 3.189 0.000 0.000
```

***

Asked for DOS at the Fermi energy across the records above, the calculation gives 4.5 3.3 5.5 1.7 states/eV/f.u. in order.